Entry 1:
Entry from Alexandria: a relaxed structure of KZnSe2 (GGA-PBE).

## Properties
**E_form (uncorrected)**: -0.29 eV/atom
**Symmetry**: P4/mmm

The structure in extended XYZ format:
```
4
Lattice="-2.1580 -0.0287 2.6344 -2.5784 -0.6765 -2.1195 1.2761 -7.8706 0.9597" Properties=species:S:1:pos:R:3 pbc="T T T"
K -1.4112 -6.2555 0.9772
Se 0.0608 -0.3749 0.0457
Se 0.5773 -3.5604 0.4341
Zn -2.0492 -2.3202 0.4974
```



Entry 2:
Entry from Alexandria: a relaxed structure of LiPmYRe (GGA-PBE).

## Properties
**Symmetry**: F-43m
**Energy relative to the elements**: 127 meV per atom

The structure in extended XYZ format:
```
4
Lattice="-0.5655 0.4593 -4.9322 -4.1235 -1.7259 -2.2078 -3.3645 3.1877 -1.8373" Properties=species:S:1:pos:R:3 pbc="T T T"
Y -6.0402 1.4408 -6.7330
Re -4.0268 0.9605 -4.4886
Li 0.0000 0.0000 0.0000
Pm -2.0134 0.4803 -2.2443
```



Entry 3:
Entry from Alexandria: a relaxed structure of Ca2CoOs (GGA-PBE).

## Properties
**Energy above the lowest structure with this stoichiometry**: 0 meV per atom
**Symmetry**: R3m
**Energy relative to the elements**: 132 meV per atom

The structure in extended XYZ format:
```
4
Lattice="-3.7744 7.0439 -0.4201 -4.8916 5.5216 3.1021 -1.3737 7.3861 2.7564" Properties=species:S:1:pos:R:3 pbc="T T T"
Co -4.5979 9.1372 2.4906
Ca -0.3668 0.7290 0.1987
Ca -2.1431 4.2589 1.1609
Os -7.9518 15.8021 4.3073
```



Entry 4:
Entry from Alexandria: a relaxed structure of Tm2Mn2AlFe5 (GGA-PBE).

## Properties
**Symmetry**: P4/mbm
**Energy relative to the elements**: 94 meV per atom

The structure in extended XYZ format:
```
20
Lattice="3.5795 0.0000 0.0000 0.0000 9.1069 0.0000 0.0000 0.0000 9.1069" Properties=species:S:1:pos:R:3 pbc="T T T"
Tm 0.0000 6.2398 1.6864
Tm 0.0000 2.8671 7.4205
Tm 0.0000 1.6864 2.8671
Tm 0.0000 7.4205 6.2398
Mn 0.0000 0.9944 5.5479
Mn 0.0000 8.1125 3.5590
Mn 0.0000 5.5479 8.1125
Mn 0.0000 3.5590 0.9944
Al 0.0000 0.0000 0.0000
Al 0.0000 4.5534 4.5534
Fe 1.7898 1.8347 0.5096
Fe 1.7898 7.2722 8.5973
Fe 1.7898 0.5096 7.2722
Fe 1.7898 6.3882 4.0438
Fe 1.7898 8.5973 1.8347
Fe 1.7898 2.7187 5.0631
Fe 1.7898 5.0631 6.3882
Fe 1.7898 4.0438 2.7187
Fe 1.7898 4.5534 0.0000
Fe 1.7898 0.0000 4.5534
```



Entry 5:
Entry from Alexandria: a relaxed structure of SmThPa2 (GGA-PBE).

## Properties
**Symmetry**: Fm-3m
**Energy relative to the elements**: 466 meV per atom

The structure in extended XYZ format:
```
4
Lattice="5.4442 0.0000 0.0000 2.7221 4.7148 0.0000 2.7221 1.5716 4.4446" Properties=species:S:1:pos:R:3 pbc="T T T"
Pa 8.1663 4.7148 3.3320
Pa 2.7221 1.5716 1.1126
Sm 0.0000 0.0000 0.0000
Th 5.4442 3.1432 2.2223
```



Entry 6:
Entry from Alexandria: a relaxed structure of La2BO (GGA-PBE).

## Properties
**Energy above the lowest structure with this stoichiometry**: 415 meV per atom
**E_form (uncorrected)**: -0.72 eV/atom
**Symmetry**: Fm-3m

The structure in extended XYZ format:
```
4
Lattice="-3.8870 -1.6170 2.0152 -3.6072 2.8661 0.7471 -3.9088 -0.4654 -2.5079" Properties=species:S:1:pos:R:3 pbc="T T T"
B 0.0000 0.0000 0.0000
O -5.7015 0.3919 0.1272
La -2.8508 0.1959 0.0636
La -8.5523 0.5878 0.1909
```



Entry 7:
Entry from Alexandria: a relaxed structure of Cu3SN (GGA-PBE).

## Properties
**Energy above the lowest structure with this stoichiometry**: 0 meV per atom
**E_form (uncorrected)**: 0.36 eV/atom
**Symmetry**: Pm-3m

The structure in extended XYZ format:
```
5
Lattice="3.9417 0.0000 0.0000 0.0000 3.9417 0.0000 0.0000 0.0000 3.9417" Properties=species:S:1:pos:R:3 pbc="T T T"
S 1.9709 1.9709 1.9709
Cu 0.0000 1.9709 0.0000
Cu 0.0000 0.0000 1.9709
Cu 1.9709 0.0000 0.0000
N 0.0000 0.0000 0.0000
```



Entry 8:
Entry from Alexandria: a relaxed structure of B3MoH (GGA-PBE).

## Properties
**Energy above the lowest structure with this stoichiometry**: 979 meV per atom
**Symmetry**: Pm-3m

The structure in extended XYZ format:
```
5
Lattice="4.1819 0.0000 0.0000 0.0000 4.1819 0.0000 0.0000 0.0000 4.1819" Properties=species:S:1:pos:R:3 pbc="T T T"
H 2.0910 2.0910 2.0910
Mo 0.0000 0.0000 0.0000
B 0.0000 2.0910 0.0000
B 0.0000 0.0000 2.0910
B 2.0910 0.0000 0.0000
```



Entry 9:
Entry from Alexandria: a relaxed structure of TiNbRe2 (GGA-PBE).

## Properties
**Energy above the lowest structure with this stoichiometry**: 908 meV per atom
**Symmetry**: I-42d
**Energy relative to the elements**: 532 meV per atom

The structure in extended XYZ format:
```
8
Lattice="7.1261 0.0000 0.0000 0.0000 7.1261 0.0000 3.5630 3.5630 2.6931" Properties=species:S:1:pos:R:3 pbc="T T T"
Re 5.3325 1.7815 0.6733
Re 1.7935 5.3446 0.6733
Re 5.3446 5.3566 2.0198
Re 8.9076 8.8956 2.0198
Nb 0.0000 0.0000 0.0000
Nb 7.1261 3.5630 1.3465
Ti 3.5630 3.5630 0.0000
Ti 3.5630 7.1261 1.3465
```



Entry 10:
Entry from Alexandria: a relaxed structure of SrBiPtAu (GGA-PBE).

## Properties
**Symmetry**: F-43m
**Energy relative to the elements**: -455 meV per atom

The structure in extended XYZ format:
```
4
Lattice="5.1433 0.0000 0.0000 2.5717 4.4543 0.0000 2.5717 1.4848 4.1995" Properties=species:S:1:pos:R:3 pbc="T T T"
Sr 0.0000 0.0000 0.0000
Au 2.5717 1.4848 1.0499
Bi 5.1433 2.9695 2.0998
Pt 7.7150 4.4543 3.1496
```



Entry 11:
Entry from Alexandria: a relaxed structure of Sr2ScSb (GGA-PBE).

## Properties
**E_form (uncorrected)**: -0.27 eV/atom
**Symmetry**: P4/mmm

The structure in extended XYZ format:
```
4
Lattice="5.0926 0.0000 0.0000 0.0000 5.0875 0.0000 0.0000 0.0000 4.9883" Properties=species:S:1:pos:R:3 pbc="T T T"
Sb 2.5463 0.0000 2.4942
Sc 0.0000 2.5438 2.4942
Sr 0.0000 0.0000 0.0000
Sr 2.5463 2.5438 0.0000
```



Entry 12:
Entry from Alexandria: a relaxed structure of MgTcOsW (GGA-PBE).

## Properties
**Symmetry**: F-43m
**Energy relative to the elements**: 18 meV per atom

The structure in extended XYZ format:
```
4
Lattice="-0.9604 -0.1898 -4.2984 1.0352 -3.5943 -2.3332 -3.1845 -2.6922 -1.4303" Properties=species:S:1:pos:R:3 pbc="T T T"
Mg 0.0000 0.0000 0.0000
Os -2.3322 -4.8573 -6.0464
Tc -0.7774 -1.6191 -2.0155
W -1.5548 -3.2382 -4.0309
```



Across the entries above, DOS(E_F) takes the values 2.0, 3.8, 5.1, 25.0, 10.1, 3.8, 3.7, 2.4, 6.8, 1.4, 4.8, 2.2 states/eV/cell, respectively.
Across the entries above, magnetic moment takes the values 0.00, 0.00, 0.00, 11.29, 0.00, 1.27, 0.00, 0.92, 0.00, 0.00, 1.37, 0.00 μB per formula unit, respectively.